(1)
# ZrBRh3 (PBE, optimized geometry)
# Magnetization in μB/f.u.: 0.00
# Calculated formation energy in eV per formula unit: -1.82
# Total DFT energy (no corrections) in eV per formula unit: -39.1
# Volume in Å³/f.u.: 78.8
data_ZrBRh3
_chemical_formula_sum 'Zr4 B4 Rh12'
_cell_length_a 11.555
_cell_length_b 4.123
_cell_length_c 6.644
_cell_angle_alpha 90.00
_cell_angle_beta 94.90
_cell_angle_gamma 90.00
_symmetry_space_group_name_H-M 'C 1 2/m 1'
_symmetry_Int_Tables_number 12
_symmetry_space_group_name_Hall '-C 2y'
loop_
_atom_site_label
_atom_site_type_symbol
_atom_site_fract_x
_atom_site_fract_y
_atom_site_fract_z
Zr1 Zr 0.164 0.000 0.350
B1 B 0.147 0.500 0.908
Rh1 Rh 0.062 0.500 0.173
Rh2 Rh 0.105 0.500 0.592
Rh3 Rh 0.200 0.000 0.878

***

(2)
# LiDy2Sb (PBE, optimized geometry)
# Magnetization in μB/f.u.: 0.00
# Energy above the most stable polymorph in this dataset in eV per formula unit: 0.000
# Total DFT energy (no corrections) in eV per formula unit: -17.3
# Volume in Å³/f.u.: 100.7
data_LiDy2Sb
_chemical_formula_sum 'Li1 Dy2 Sb1'
_cell_length_a 4.880
_cell_length_b 4.880
_cell_length_c 4.230
_cell_angle_alpha 90.00
_cell_angle_beta 90.00
_cell_angle_gamma 90.00
_symmetry_space_group_name_H-M 'P 4/m m m'
_symmetry_Int_Tables_number 123
_symmetry_space_group_name_Hall '-P 4 2'
loop_
_atom_site_label
_atom_site_type_symbol
_atom_site_fract_x
_atom_site_fract_y
_atom_site_fract_z
Li1 Li 0.000 0.000 0.000
Dy1 Dy 0.000 0.500 0.500
Sb1 Sb 0.500 0.500 0.000

***

(3)
# AlVAu (PBE, optimized geometry)
# Magnetization in μB/f.u.: 0.00
# Calculated formation energy in eV per formula unit: -0.91
# Total DFT energy (no corrections) in eV per formula unit: -17.0
# Volume in Å³/f.u.: 46.6
data_AlVAu
_chemical_formula_sum 'Al2 V2 Au2'
_cell_length_a 3.215
_cell_length_b 3.215
_cell_length_c 9.011
_cell_angle_alpha 90.00
_cell_angle_beta 90.00
_cell_angle_gamma 90.00
_symmetry_space_group_name_H-M 'P 4/n m m'
_symmetry_Int_Tables_number 129
loop_
_symmetry_equiv_pos_as_xyz
'x,y,z'
'-x,-y,-z'
'-y+1/2,x,z'
'y+1/2,-x,-z'
'-x+1/2,-y+1/2,z'
'x+1/2,y+1/2,-z'
'y,-x+1/2,z'
'-y,x+1/2,-z'
'x+1/2,-y,-z'
'-x+1/2,y,z'
'-y,-x,-z'
'y,x,z'
'-x,y+1/2,-z'
'x,-y+1/2,z'
'y+1/2,x+1/2,-z'
'-y+1/2,-x+1/2,z'
loop_
_atom_site_label
_atom_site_type_symbol
_atom_site_fract_x
_atom_site_fract_y
_atom_site_fract_z
Al1 Al 0.250 0.250 0.236
V1 V 0.250 0.250 0.940
Au1 Au 0.250 0.250 0.613

***

(4)
# U2TiTl3Se6 (PBE, optimized geometry)
# Magnetization in μB/f.u.: 7.02
# Total DFT energy (no corrections) in eV per formula unit: -68.9
# Volume in Å³/f.u.: 333.0
data_U2TiTl3Se6
_chemical_formula_sum 'U4 Ti2 Tl6 Se12'
_cell_length_a 6.955
_cell_length_b 12.032
_cell_length_c 8.291
_cell_angle_alpha 90.00
_cell_angle_beta 106.28
_cell_angle_gamma 90.00
_symmetry_space_group_name_H-M 'C 1 2/m 1'
_symmetry_Int_Tables_number 12
_symmetry_space_group_name_Hall '-C 2y'
loop_
_atom_site_label
_atom_site_type_symbol
_atom_site_fract_x
_atom_site_fract_y
_atom_site_fract_z
U1 U 0.000 0.165 0.000
Ti1 Ti 0.000 0.500 0.000
Tl1 Tl 0.000 0.000 0.500
Tl2 Tl 0.000 0.326 0.500
Se1 Se 0.223 0.342 0.199
Se2 Se 0.246 0.500 0.795